Entry A
{
  "formula": "Ba2BBr",
  "functional": "PBE-GGA",
  "state": "relaxed",
  "cell": [[-4.974, -1.112, -6.359], [-5.761, -2.857, 5.006], [-7.064, 2.414, -0.118]],
  "species": ["B", "B", "Ba", "Ba", "Ba", "Ba", "Br", "Br"],
  "fractional_positions": [[0.500, 0.500, 0.000], [0.250, 0.750, 0.500], [0.580, 0.125, 0.250], [0.170, 0.625, 0.250], [0.375, 0.420, 0.750], [0.875, 0.830, 0.750], [0.000, 0.000, 0.000], [0.750, 0.250, 0.500]]
}

---

Entry B
{
  "formula": "Ba2BBr",
  "functional": "PBE-GGA",
  "state": "relaxed",
  "cell": [[0.000, 3.953, 3.953], [3.953, 0.000, 3.953], [3.953, 3.953, 0.000]],
  "species": ["B", "Ba", "Ba", "Br"],
  "fractional_positions": [[0.000, 0.000, 0.000], [0.250, 0.250, 0.250], [0.750, 0.750, 0.750], [0.500, 0.500, 0.500]]
}

---

Among the structures above, stability is greatest for entry A.